Mn2AgRu: relaxed, PBE.

abc: 6.914 6.914 5.613
angles: 51.98 51.98 90.00
Sites, in units of the cell vectors:
1 Ru 0.500 0.500 0.000
2 Ru 0.250 0.750 0.500
3 Mn 0.603 0.125 0.250
4 Mn 0.147 0.625 0.250
5 Mn 0.375 0.397 0.750
6 Mn 0.875 0.853 0.750
7 Ag 0.000 0.000 0.000
8 Ag 0.750 0.250 0.500

Results
ρ ... 8.03 g/cm³
DOS at the Fermi energy ... 8.69 states/eV/cell
Calculated formation energy ... 0.746 eV/atom
Final energy ... -6.870 eV per atom